Entry 1:
NdHo2Th3Se6 PBE-GGA optimized geometry; calculated density = 8.9 g/cm3; uncorrected formation energy = -1.638 eV/atom; crystal system = monoclinic; SG = C2/m (12)
1.0
-6.5858 -0.9974 2.1869
2.9777 -4.6896 -4.2767
3.6127 -1.7528 6.3465
Nd Ho Th Se
1 2 3 6
Direct
0.0000 0.0000 0.0000
0.3318 0.6682 0.0000
0.6682 0.3318 0.0000
0.1606 0.8394 0.5000
0.8394 0.1606 0.5000
0.5000 0.5000 0.5000
0.9199 0.5768 0.7606
0.7332 0.7332 0.2316
0.0801 0.4232 0.2394
0.5768 0.9199 0.7606
0.2668 0.2668 0.7684
0.4232 0.0801 0.2394

Entry 2:
SrLa5Pr6 PBE-GGA optimized geometry; ΔH_f (0 K) = 44.5 meV per atom; calculated density = 6.0 g/cm3; crystal system = monoclinic; SG = C2/m (12)
1.0
5.0893 -0.0108 -1.4830
-3.4495 9.0398 -2.4014
0.1317 -0.4690 9.9572
Pr Sr La
6 1 5
Direct
0.2557 0.0860 0.4255
0.7443 0.5745 0.9140
0.7634 0.2634 0.2634
0.2366 0.7366 0.7366
0.2557 0.4255 0.0860
0.7443 0.9140 0.5745
0.0000 0.0000 0.0000
0.5000 0.1741 0.8259
0.0000 0.3320 0.6680
0.5000 0.5000 0.5000
0.0000 0.6680 0.3320
0.5000 0.8259 0.1741

Entry 3:
AcPrSeS2 PBE-GGA optimized geometry; calculated density = 5.0 g/cm3; uncorrected formation energy = -1.884 eV/atom; crystal system = tetragonal; SG = P4mm (99)
1.0
-3.5902 -2.0742 2.6218
0.7156 -4.2349 -2.3704
4.7030 -1.9476 4.8992
Ac Pr Se S
1 1 1 2
Direct
0.5000 0.5000 0.6621
0.0000 0.0000 0.0705
0.0000 0.0000 0.4769
0.0000 0.5000 0.8953
0.5000 0.0000 0.8953

Entry 4:
Er2TmHg PBE-GGA optimized geometry; ΔH_f (0 K) = -155.2 meV per atom; calculated density = 10.2 g/cm3; excess energy over the best structure of this formula in the dataset = 67 meV/atom; crystal system = trigonal; SG = R-3m (166)
1.0
-2.3314 -1.5040 2.2412
1.0181 -2.7178 2.0730
2.3829 5.3419 8.9013
Tm Hg Er
1 1 2
Direct
0.5000 0.5000 0.5000
0.0000 0.0000 0.0000
0.2567 0.2567 0.2299
0.7433 0.7433 0.7701

Entry 5:
LaAs2Pb PBE-GGA optimized geometry; ΔH_f (0 K) = -551.4 meV per atom; calculated density = 7.9 g/cm3; excess energy over the best structure of this formula in the dataset = 142 meV/atom; crystal system = cubic; SG = Fm-3m (225)
1.0
4.7159 1.0417 2.1276
0.3568 1.3683 5.0845
2.1170 -3.3447 3.4904
Pb As La
1 2 1
Direct
0.5000 0.5000 0.5000
0.2500 0.2500 0.2500
0.7500 0.7500 0.7500
0.0000 0.0000 0.0000

Entry 6:
CoSi2Pb PBE-GGA optimized geometry; calculated density = 7.8 g/cm3; uncorrected formation energy = 0.646 eV/atom; crystal system = tetragonal; SG = P4/mmm (123)
1.0
-0.0119 -0.7864 -3.6293
-3.0427 -2.0815 0.4611
-2.8668 4.0007 -0.8575
Co Pb Si
1 1 2
Direct
0.5000 0.0000 0.5000
0.0000 0.5000 0.5000
0.0000 0.0000 0.0000
0.5000 0.5000 0.0000